(1)
# SrAu3 (PBE-GGA, relaxed)
data_SrAu3
_chemical_formula_sum 'Sr1 Au3'
_cell_length_a 3.757
_cell_length_b 3.757
_cell_length_c 6.487
_cell_angle_alpha 90.00
_cell_angle_beta 90.00
_cell_angle_gamma 90.00
_space_group_name_H-M_alt 'P 4/m m m'
_space_group_IT_number 123
_space_group_name_Hall '-P 4 2'
loop_
_atom_site_label
_atom_site_fract_x
_atom_site_fract_y
_atom_site_fract_z
_atom_site_occupancy
Sr1 0.000 0.000 0.000 1
Au1 0.000 0.000 0.500 1
Au2 0.500 0.500 0.284 1
# - Electronic total energy: -13.17 eV per cell

=====

(2)
# SrAu2 (PBE-GGA, relaxed)
data_SrAu2
_chemical_formula_sum 'Sr4 Au8'
_cell_length_a 4.338
_cell_length_b 6.265
_cell_length_c 11.432
_cell_angle_alpha 90.00
_cell_angle_beta 90.00
_cell_angle_gamma 90.00
_space_group_name_H-M_alt 'I m m m'
_space_group_IT_number 71
_space_group_name_Hall '-I 2 2'
loop_
_atom_site_label
_atom_site_fract_x
_atom_site_fract_y
_atom_site_fract_z
_atom_site_occupancy
Sr1 0.000 0.000 0.177 1
Au1 0.000 0.255 0.500 1
Au2 0.000 0.500 0.122 1
# - Electronic total energy: -40.41 eV per cell

=====

(3)
# SrAu3 (PBE-GGA, relaxed)
data_SrAu3
_chemical_formula_sum 'Sr1 Au3'
_cell_length_a 3.959
_cell_length_b 3.959
_cell_length_c 6.375
_cell_angle_alpha 90.00
_cell_angle_beta 90.00
_cell_angle_gamma 90.00
_space_group_name_H-M_alt 'P 4 m m'
_space_group_IT_number 99
_space_group_name_Hall 'P 4 -2'
loop_
_atom_site_label
_atom_site_fract_x
_atom_site_fract_y
_atom_site_fract_z
_atom_site_occupancy
Sr1 0.000 0.000 0.000 1
Au1 0.000 0.500 0.587 1
Au2 0.500 0.500 0.243 1
# - Electronic total energy: -13.28 eV per cell

=====

(4)
# Sr4Au5 (PBE-GGA, relaxed)
data_Sr4Au5
_chemical_formula_sum 'Sr8 Au10'
_cell_length_a 11.134
_cell_length_b 11.134
_cell_length_c 4.661
_cell_angle_alpha 90.00
_cell_angle_beta 90.00
_cell_angle_gamma 90.00
_space_group_name_H-M_alt 'I 4/m m m'
_space_group_IT_number 139
_space_group_name_Hall '-I 4 2'
loop_
_atom_site_label
_atom_site_fract_x
_atom_site_fract_y
_atom_site_fract_z
_atom_site_occupancy
Sr1 0.000 0.269 0.000 1
Au1 0.000 0.000 0.000 1
Au2 0.197 0.197 0.500 1
# - Distance to the lowest polymorph of the same formula: 66 meV/atom

=====

(5)
# SrAu3 (PBE-GGA, relaxed)
data_SrAu3
_chemical_formula_sum 'Sr1 Au3'
_cell_length_a 3.947
_cell_length_b 4.785
_cell_length_c 5.488
_cell_angle_alpha 90.00
_cell_angle_beta 90.00
_cell_angle_gamma 90.00
_space_group_name_H-M_alt 'P m m m'
_space_group_IT_number 47
_space_group_name_Hall '-P 2 2'
loop_
_atom_site_label
_atom_site_fract_x
_atom_site_fract_y
_atom_site_fract_z
_atom_site_occupancy
Sr1 0.000 0.000 0.000 1
Au1 0.500 0.000 0.500 1
Au2 0.500 0.500 0.246 1
# - Electronic total energy: -13.69 eV per cell

=====

(6)
# Sr3Au4 (PBE-GGA, relaxed)
data_Sr3Au4
_chemical_formula_sum 'Sr6 Au8'
_cell_length_a 4.246
_cell_length_b 4.246
_cell_length_c 22.967
_cell_angle_alpha 90.00
_cell_angle_beta 90.00
_cell_angle_gamma 90.00
_space_group_name_H-M_alt 'I 4/m m m'
_space_group_IT_number 139
_space_group_name_Hall '-I 4 2'
loop_
_atom_site_label
_atom_site_fract_x
_atom_site_fract_y
_atom_site_fract_z
_atom_site_occupancy
Sr1 0.000 0.000 0.000 1
Sr2 0.000 0.000 0.308 1
Au1 0.000 0.000 0.150 1
Au2 0.000 0.000 0.439 1
# - Distance to the lowest polymorph of the same formula: 0 meV/atom